[1]
! Ba2NaW | Alexandria | PBE-GGA | optimized geometry; values from VASP
! Relative energy among the computed polymorphs, eV/atom: 0.2107
! Formation energy from the elements, meV/atom: 1265
! Space group: I-42d, No. 122
&SYSTEM
  ibrav = 0, nat = 8, ntyp = 3
/
ATOMIC_SPECIES
Ba 137.33 Ba.upf
Na 22.99 Na.upf
W 183.84 W.upf
ATOMIC_POSITIONS crystal
Ba 0.090 0.625 0.250
Ba 0.660 0.125 0.250
Ba 0.375 0.340 0.750
Ba 0.875 0.910 0.750
Na 0.500 0.500 0.000
Na 0.250 0.750 0.500
W 0.750 0.250 0.500
W 0.000 0.000 0.000
CELL_PARAMETERS angstrom
9.304 0.000 0.000
0.000 9.304 0.000
4.652 4.652 3.657



[2]
! Rb2Sb3 | Alexandria | PBE-GGA | optimized geometry; values from VASP
! Space group: Fdd2, No. 43
! Uncorrected formation energy, eV per atom: -0.276
&SYSTEM
  ibrav = 0, nat = 10, ntyp = 2
/
ATOMIC_SPECIES
Rb 85.47 Rb.upf
Sb 121.76 Sb.upf
ATOMIC_POSITIONS crystal
Rb 0.577 0.157 0.395
Rb 0.129 0.843 0.605
Rb 0.485 0.343 0.895
Rb 0.722 0.657 0.105
Sb 0.146 0.645 0.261
Sb 0.052 0.355 0.739
Sb 0.158 0.145 0.239
Sb 0.845 0.500 0.500
Sb 0.541 0.855 0.761
Sb 0.095 0.000 0.000
CELL_PARAMETERS angstrom
-2.485 4.429 -4.922
-5.892 -1.841 -3.764
-6.401 6.154 3.688



| no. | electronic total energy (eV/cell) |
| --- | --- |
| 1 | -26.12 |
| 2 | -31.36 |